Entry 1:
## Re2AgPt (PBE)

Data for an optimized crystal structure of Re2AgPt.

Cell: 9.5237 2.7570 4.8013 Å, 90.00 99.72 90.00°
With the nearest neighbours (Å) after each atom.
Space group C2/m (No. 12)
Symmetry-distinct sites (fractional):
Re (0.2427, 0.0000, 0.2440) (multiplicity 4)  6 Re 2.74-2.80, 3 Pt 2.77-2.89, 3 Ag 2.79-2.90
Ag (0.0000, 0.0000, 0.5000) (multiplicity 2)  2 Ag 2.76, 4 Pt 2.77, 6 Re 2.79-2.90
Pt (0.0000, 0.5000, 0.0000) (multiplicity 2)  2 Pt 2.76, 4 Ag 2.77, 6 Re 2.77-2.89

Properties
**Energy relative to the lowest polymorph listed for this composition**: 0.226 eV per atom
**DOS at the Fermi energy**: 6.085 states/eV/cell
**E_form**: 323 meV per atom
**VASP energy**: -8.1245 eV/atom

=====

Entry 2:
## ReAgPt2 (PBE)

Data for an optimized crystal structure of ReAgPt2.

Cell: 3.9682 3.9682 7.9373 Å, 90.00 90.00 90.00°
With the nearest neighbours (Å) after each atom.
Space group I4/mmm (No. 139)
Symmetry-distinct sites (fractional):
Re (0.0000, 0.0000, 0.0000) (multiplicity 2)  4 Ag 2.81, 8 Pt 2.81
Ag (0.0000, 0.0000, 0.5000) (multiplicity 2)  4 Re 2.81, 8 Pt 2.81
Pt (0.0000, 0.5000, 0.2500) (multiplicity 4)  4 Pt 2.81, 4 Re 2.81, 4 Ag 2.81

Properties
**Energy relative to the lowest polymorph listed for this composition**: 0.361 eV per atom
**DOS at the Fermi energy**: 8.403 states/eV/cell
**E_form**: 270 meV per atom
**VASP energy**: -6.5757 eV/atom

=====

Entry 3:
## ReAgPt2 (PBE)

Data for an optimized crystal structure of ReAgPt2.

Cell: 6.3282 6.3282 6.3282 Å, 90.00 90.00 90.00°
With the nearest neighbours (Å) after each atom.
Space group F-43m (No. 216)
Symmetry-distinct sites (fractional):
Re (0.0000, 0.0000, 0.0000) (multiplicity 4)  4 Ag 2.74, 4 Pt 2.74
Ag (0.2500, 0.2500, 0.7500) (multiplicity 4)  4 Pt 2.74, 4 Re 2.74
Pt (0.0000, 0.0000, 0.5000) (multiplicity 4)  4 Pt 2.74, 4 Ag 2.74
Pt (0.2500, 0.2500, 0.2500) (multiplicity 4)  4 Re 2.74, 4 Pt 2.74

Properties
**Energy relative to the lowest polymorph listed for this composition**: 0.535 eV per atom
**DOS at the Fermi energy**: 6.650 states/eV/cell
**E_form**: 443 meV per atom
**VASP energy**: -6.4021 eV/atom

=====

Number 1: volume 124 Å³ per cell. Number 2: volume 125 Å³ per cell. Number 3: volume 253 Å³ per cell.